No. 1
A PBEsol-optimized structure of LiZnNi2. Source: Alexandria, functional meta-GGA SCAN.

total magnetic moment = 0.0 μB per cell
D(E_F) = 1.96 states/eV/f.u.

Cell: 4.2851 4.2851 4.2851 Å, 130.75 130.75 72.20°
Closest atoms and distances in Å follow each position.
Fractional positions:
Li 0.0000 0.0000 0.0000  8 Ni 2.49, 4 Zn 2.52
Zn 0.5000 0.5000 0.0000  8 Ni 2.49, 4 Li 2.52
Ni 0.2500 0.7500 0.5000  4 Li 2.49, 4 Zn 2.49, 4 Ni 2.52
Ni 0.7500 0.2500 0.5000  4 Li 2.49, 4 Zn 2.49, 4 Ni 2.52


No. 2
A PBEsol-optimized structure of LiZn2Ni. Source: Alexandria, functional meta-GGA SCAN.

energy above the lowest structure with this stoichiometry = 71 meV/atom
total magnetic moment = 0.1 μB per cell
D(E_F) = 1.31 states/eV/f.u.

Cell: 4.7875 4.7875 4.1327 Å, 112.37 112.37 34.16°
Closest atoms and distances in Å follow each position.
Fractional positions:
Li 0.0000 0.0000 0.0000  7 Zn 2.48-2.69, 2 Ni 2.54
Zn 0.5133 0.5133 0.5192  2 Ni 2.43, 4 Li 2.48-2.53, 2 Zn 2.56
Zn 0.7605 0.7605 0.2218  4 Ni 2.49-2.51, 2 Zn 2.56, 3 Li 2.60-2.69
Ni 0.2498 0.2498 0.7103  6 Zn 2.43-2.51, 2 Li 2.54


No. 3
A PBEsol-optimized structure of LiZnNi2. Source: Alexandria, functional meta-GGA SCAN.

total magnetic moment = 0.0 μB per cell
D(E_F) = 2.74 states/eV/f.u.

Cell: 2.4731 3.6399 4.9677 Å, 90.00 90.00 90.00°
Closest atoms and distances in Å follow each position.
Fractional positions:
Li 0.0000 0.0000 0.0000  6 Ni 2.41-2.56, 2 Li 2.47, 4 Zn 2.56
Zn 0.5000 0.5000 0.7349  6 Ni 2.43-2.54, 2 Zn 2.47, 4 Li 2.56
Ni 0.0000 0.0000 0.4845  2 Li 2.41-2.56, 6 Ni 2.47-2.50, 4 Zn 2.53
Ni 0.5000 0.5000 0.2459  2 Zn 2.43-2.54, 6 Ni 2.47-2.50, 4 Li 2.52


No. 4
A PBEsol-optimized structure of Li2ZnNi2. Source: Alexandria, functional meta-GGA SCAN.

total magnetic moment = 1.5 μB per cell
D(E_F) = 3.00 states/eV/f.u.

Cell: 7.0761 7.0761 7.0761 Å, 153.84 153.84 37.33°
Closest atoms and distances in Å follow each position.
Fractional positions:
Li 0.1056 0.1056 0.0000  4 Ni 2.51, 4 Zn 2.67
Li 0.8944 0.8944 0.0000  4 Ni 2.51, 4 Zn 2.67
Zn 0.5000 0.5000 0.0000  8 Li 2.67
Ni 0.2500 0.7500 0.5000  4 Ni 2.26, 4 Li 2.51
Ni 0.7500 0.2500 0.5000  4 Ni 2.26, 4 Li 2.51


No. 5
A PBEsol-optimized structure of LiZnNi2. Source: Alexandria, functional meta-GGA SCAN.

total magnetic moment = 0.0 μB per cell
D(E_F) = 1.82 states/eV/f.u.

Cell: 2.5696 2.5696 6.9259 Å, 90.00 90.00 90.00°
Closest atoms and distances in Å follow each position.
Fractional positions:
Li 0.0000 0.0000 0.0000  8 Ni 2.55, 4 Li 2.57
Zn 0.0000 0.0000 0.5000  8 Ni 2.47, 4 Zn 2.57
Ni 0.5000 0.5000 0.2580  4 Zn 2.47, 4 Li 2.55, 4 Ni 2.57
Ni 0.5000 0.5000 0.7420  4 Zn 2.47, 4 Li 2.55, 4 Ni 2.57


No. 6
A PBEsol-optimized structure of LiZnNi2. Source: Alexandria, functional meta-GGA SCAN.

total magnetic moment = 0.0 μB per cell
D(E_F) = 1.82 states/eV/f.u.

Cell: 4.2874 4.2874 2.5399 Å, 90.00 90.00 107.73°
Closest atoms and distances in Å follow each position.
Fractional positions:
Li 0.0000 0.0000 0.0000  8 Ni 2.49, 2 Zn 2.53, 2 Li 2.54
Zn 0.5000 0.5000 0.0000  8 Ni 2.49, 2 Li 2.53, 2 Zn 2.54
Ni 0.0000 0.5000 0.5000  4 Li 2.49, 4 Zn 2.49, 4 Ni 2.53-2.54
Ni 0.5000 0.0000 0.5000  4 Li 2.49, 4 Zn 2.49, 4 Ni 2.53-2.54


No. 7
A PBEsol-optimized structure of LiZnNi. Source: Alexandria, functional meta-GGA SCAN.

energy above the lowest structure with this stoichiometry = 535 meV/atom
total magnetic moment = 0.0 μB per cell
D(E_F) = 1.20 states/eV/f.u.

Cell: 3.8049 3.8049 3.8049 Å, 60.00 60.00 60.00°
Closest atoms and distances in Å follow each position.
Fractional positions:
Li 0.0000 0.0000 0.0000  4 Zn 2.33, 4 Ni 2.33
Zn 0.2500 0.2500 0.2500  4 Li 2.33
Ni 0.7500 0.7500 0.7500  4 Li 2.33


No. 8
A PBEsol-optimized structure of LiZr3Ni. Source: Alexandria, functional meta-GGA SCAN.

total magnetic moment = 0.0 μB per cell
D(E_F) = 7.00 states/eV/f.u.

Cell: 4.5198 4.5198 4.5198 Å, 90.00 90.00 90.00°
Closest atoms and distances in Å follow each position.
Fractional positions:
Li 0.0000 0.0000 0.0000  6 Zr 2.26
Zr 0.0000 0.0000 0.5000  2 Li 2.26
Zr 0.0000 0.5000 0.0000  2 Li 2.26
Zr 0.5000 0.0000 0.0000  2 Li 2.26
Ni 0.5000 0.5000 0.5000  12 Zr 3.20


| no. | E_form (eV per atom) |
| --- | --- |
| 1 | -0.087 |
| 2 | -0.175 |
| 3 | -0.062 |
| 4 | 0.228 |
| 5 | -0.013 |
| 6 | -0.068 |
| 7 | 0.396 |
| 8 | 0.957 |